Below is crystalline HfFeO2 at its relaxed geometry, with properties calculated at the PBE+U level.

ρ   7.755 g cm⁻³
Relative energy among the computed polymorphs   0.000 eV per atom
Volume   14.26 A^3/atom

a b c (Å): 6.4294 6.4294 6.4294
angles (deg): 29.50 29.50 29.50
Closest atoms and distances in Å follow each position.
Fractional coordinates of all 4 atoms:
Hf1 0.0000 0.0000 0.0000  6 O 2.10
Fe1 0.5000 0.5000 0.5000  2 O 2.15
O1 0.3835 0.3835 0.3835  3 Hf 2.10, 1 Fe 2.15
O2 0.6165 0.6165 0.6165  3 Hf 2.10, 1 Fe 2.15